No. 1
This record from the Alexandria database describes a crystal of BeNbAl3 relaxed with PBEsol. The functional is meta-GGA SCAN.

Summary:
**SG**: Pm-3m (221)

```
BeNbAl3
1.0
4.9098 0.0000 0.0000
0.0000 4.9098 0.0000
0.0000 0.0000 4.9098
Al Nb Be
3 1 1
direct
0.5000 0.0000 0.0000 Al
0.0000 0.5000 0.0000 Al
0.0000 0.0000 0.5000 Al
0.0000 0.0000 0.0000 Nb
0.5000 0.5000 0.5000 Be
```


No. 2
This record from the Alexandria database describes a crystal of Be2AlNi relaxed with PBEsol. The functional is meta-GGA SCAN.

Summary:
**SG**: Amm2 (38)

```
Be2AlNi
1.0
-0.4092 -2.1770 1.1745
3.2062 -1.2016 -1.1101
2.0898 2.7192 3.0924
Al Be Ni
1 2 1
direct
0.4297 0.5000 0.8595 Al
0.8050 0.0000 0.6100 Be
0.6863 0.5000 0.3725 Be
0.0850 0.0000 0.1700 Ni
```


No. 3
This record from the Alexandria database describes a crystal of Be2AlNi relaxed with PBEsol. The functional is meta-GGA SCAN.

Summary:
**SG**: I4/mmm (139)

```
Be2AlNi
1.0
-0.8704 -3.2954 -0.3092
3.2421 -0.7845 -0.7656
-0.5218 1.5540 3.8474
Be Al Ni
2 1 1
direct
0.7500 0.2500 0.5000 Be
0.2500 0.7500 0.5000 Be
0.0000 0.0000 0.0000 Al
0.5000 0.5000 0.0000 Ni
```


Number 1: E_form 1.3170 eV/atom, DOS at the Fermi energy 3.6 states/eV/f.u.. Number 2: E_form -0.2454 eV/atom, DOS at the Fermi energy 0.9 states/eV/f.u.. Number 3: E_form -0.3281 eV/atom, DOS at the Fermi energy 0.8 states/eV/f.u..